# 1
# SmAlSe3

A relaxed structure of SmAlSe3 (GGA-PBE, Alexandria). Values from VASP.

```
&SYSTEM
  ibrav = 0, nat = 10, ntyp = 3
/
ATOMIC_SPECIES
Sm 150.36 Sm.upf
Al 26.98 Al.upf
Se 78.96 Se.upf
ATOMIC_POSITIONS crystal
Sm 0.250 0.173 0.827
Sm 0.750 0.827 0.173
Al 0.250 0.305 0.556
Al 0.750 0.556 0.305
Se 0.250 0.058 0.495
Se 0.250 0.374 0.213
Se 0.250 0.663 0.897
Se 0.750 0.213 0.374
Se 0.750 0.495 0.058
Se 0.750 0.897 0.663
CELL_PARAMETERS angstrom
4.077 0.000 0.000
0.000 11.876 3.378
0.000 -11.876 3.378
```

## Properties
VASP energy, eV/atom: -5.120
Symmetry: Ama2 (40)
Energy relative to the elements, uncorrected, eV per formula unit: -6.687

# 2
# SmAl2Se4

A relaxed structure of SmAl2Se4 (GGA-PBE, Alexandria). Values from VASP.

```
&SYSTEM
  ibrav = 0, nat = 7, ntyp = 3
/
ATOMIC_SPECIES
Sm 150.36 Sm.upf
Al 26.98 Al.upf
Se 78.96 Se.upf
ATOMIC_POSITIONS crystal
Sm 0.000 0.000 0.000
Al 0.250 0.750 0.500
Al 0.750 0.250 0.500
Se 0.175 0.659 0.835
Se 0.341 0.175 0.516
Se 0.659 0.825 0.484
Se 0.825 0.341 0.165
CELL_PARAMETERS angstrom
-3.898 3.898 3.162
3.898 -3.898 3.162
3.898 3.898 -3.162
```

## Properties
VASP energy, eV/atom: -4.655
Symmetry: I4/m (87)
Energy relative to the elements, uncorrected, eV per formula unit: -6.441

# 3
# Sm4AlTe2Se

A relaxed structure of Sm4AlTe2Se (GGA-PBE, Alexandria). Values from VASP.

```
&SYSTEM
  ibrav = 0, nat = 8, ntyp = 4
/
ATOMIC_SPECIES
Sm 150.36 Sm.upf
Al 26.98 Al.upf
Te 127.60 Te.upf
Se 78.96 Se.upf
ATOMIC_POSITIONS crystal
Sm 0.244 0.000 0.233
Sm 0.255 0.500 0.774
Sm 0.745 0.500 0.226
Sm 0.756 0.000 0.767
Al 0.000 0.500 0.000
Te 0.000 0.000 0.500
Te 0.500 0.500 0.500
Se 0.500 0.000 0.000
CELL_PARAMETERS angstrom
7.542 0.000 0.000
0.000 4.271 0.000
-2.450 0.000 7.285
```

## Properties
VASP energy, eV/atom: -5.285
Symmetry: P2/m (10)
Energy relative to the elements, uncorrected, eV per formula unit: -9.890

# 4
# Sm3AlTl3Se8

A relaxed structure of Sm3AlTl3Se8 (GGA-PBE, Alexandria). Values from VASP.

```
&SYSTEM
  ibrav = 0, nat = 15, ntyp = 4
/
ATOMIC_SPECIES
Sm 150.36 Sm.upf
Al 26.98 Al.upf
Tl 204.38 Tl.upf
Se 78.96 Se.upf
ATOMIC_POSITIONS crystal
Sm 0.000 0.000 0.000
Sm 0.000 0.500 0.000
Sm 0.500 0.000 0.000
Al 0.500 0.500 0.000
Tl 0.000 0.500 0.500
Tl 0.500 0.000 0.500
Tl 0.500 0.500 0.500
Se 0.238 0.238 0.214
Se 0.264 0.716 0.196
Se 0.284 0.284 0.804
Se 0.284 0.736 0.804
Se 0.716 0.264 0.196
Se 0.716 0.716 0.196
Se 0.736 0.284 0.804
Se 0.762 0.762 0.786
CELL_PARAMETERS angstrom
7.239 -4.179 0.000
7.239 4.179 0.000
-4.839 0.000 7.627
```

## Properties
VASP energy, eV/atom: -4.695
Symmetry: C2/m (12)
Energy relative to the elements, uncorrected, eV per formula unit: -17.556

# 5
# SmAlTl2Se4

A relaxed structure of SmAlTl2Se4 (GGA-PBE, Alexandria). Values from VASP.

```
&SYSTEM
  ibrav = 0, nat = 16, ntyp = 4
/
ATOMIC_SPECIES
Sm 150.36 Sm.upf
Al 26.98 Al.upf
Tl 204.38 Tl.upf
Se 78.96 Se.upf
ATOMIC_POSITIONS crystal
Sm 0.000 0.000 0.000
Sm 0.500 0.000 0.500
Al 0.500 0.000 0.000
Al 0.500 0.500 0.500
Tl 0.000 0.000 0.500
Tl 0.000 0.500 0.000
Tl 0.000 0.500 0.500
Tl 0.500 0.500 0.000
Se 0.278 0.260 0.482
Se 0.278 0.796 0.018
Se 0.294 0.243 0.051
Se 0.308 0.757 0.551
Se 0.692 0.243 0.449
Se 0.706 0.757 0.949
Se 0.722 0.204 0.982
Se 0.722 0.740 0.518
CELL_PARAMETERS angstrom
-4.141 4.397 6.065
4.141 -4.397 6.065
4.141 4.397 -6.065
```

## Properties
VASP energy, eV/atom: -4.292
Symmetry: Imma (74)
Energy relative to the elements, uncorrected, eV per formula unit: -7.207

# 6
# AlSn2Se4

A relaxed structure of AlSn2Se4 (GGA-PBE, Alexandria). Values from VASP.

```
&SYSTEM
  ibrav = 0, nat = 14, ntyp = 3
/
ATOMIC_SPECIES
Al 26.98 Al.upf
Sn 118.71 Sn.upf
Se 78.96 Se.upf
ATOMIC_POSITIONS crystal
Al 0.129 0.871 0.750
Al 0.871 0.129 0.250
Sn 0.369 0.631 0.577
Sn 0.369 0.631 0.923
Sn 0.631 0.369 0.077
Sn 0.631 0.369 0.423
Se 0.000 0.000 0.000
Se 0.000 0.000 0.500
Se 0.288 0.712 0.130
Se 0.288 0.712 0.370
Se 0.496 0.504 0.750
Se 0.504 0.496 0.250
Se 0.712 0.288 0.630
Se 0.712 0.288 0.870
CELL_PARAMETERS angstrom
1.872 -6.682 0.000
1.872 6.682 0.000
0.000 0.000 14.152
```

## Properties
VASP energy, eV/atom: -4.035
Symmetry: Cmcm (63)
Energy relative to the elements, uncorrected, eV per formula unit: -2.557
Offset from the most stable computed form, meV/atom: 66

# 7
# Al2SnSe2

A relaxed structure of Al2SnSe2 (GGA-PBE, Alexandria). Values from VASP.

```
&SYSTEM
  ibrav = 0, nat = 10, ntyp = 3
/
ATOMIC_SPECIES
Al 26.98 Al.upf
Sn 118.71 Sn.upf
Se 78.96 Se.upf
ATOMIC_POSITIONS crystal
Al 0.152 0.348 0.000
Al 0.348 0.848 0.000
Al 0.652 0.152 0.000
Al 0.848 0.652 0.000
Sn 0.000 0.000 0.500
Sn 0.500 0.500 0.500
Se 0.156 0.656 0.500
Se 0.344 0.156 0.500
Se 0.656 0.844 0.500
Se 0.844 0.344 0.500
CELL_PARAMETERS angstrom
7.893 0.000 0.000
0.000 7.893 0.000
0.000 0.000 3.566
```

## Properties
VASP energy, eV/atom: -3.725
Symmetry: P4/mbm (127)
Energy relative to the elements, uncorrected, eV per formula unit: -0.166
Offset from the most stable computed form, meV/atom: 158

# 8
# Al4SnSe7

A relaxed structure of Al4SnSe7 (GGA-PBE, Alexandria). Values from VASP.

```
&SYSTEM
  ibrav = 0, nat = 24, ntyp = 3
/
ATOMIC_SPECIES
Al 26.98 Al.upf
Sn 118.71 Sn.upf
Se 78.96 Se.upf
ATOMIC_POSITIONS crystal
Al 0.124 0.160 0.000
Al 0.246 0.680 0.991
Al 0.254 0.320 0.491
Al 0.376 0.840 0.500
Al 0.624 0.840 0.500
Al 0.746 0.320 0.491
Al 0.754 0.680 0.991
Al 0.876 0.160 0.000
Sn 0.000 0.464 0.462
Sn 0.500 0.536 0.962
Se 0.000 0.355 0.903
Se 0.120 0.167 0.386
Se 0.120 0.833 0.874
Se 0.247 0.667 0.380
Se 0.253 0.333 0.880
Se 0.380 0.167 0.374
Se 0.380 0.833 0.886
Se 0.500 0.645 0.403
Se 0.620 0.167 0.374
Se 0.620 0.833 0.886
Se 0.747 0.333 0.880
Se 0.753 0.667 0.380
Se 0.880 0.167 0.386
Se 0.880 0.833 0.874
CELL_PARAMETERS angstrom
15.680 0.000 0.000
0.000 6.771 0.000
0.000 0.000 6.347
```

## Properties
VASP energy, eV/atom: -4.396
Symmetry: Pmn2_1 (31)
Energy relative to the elements, uncorrected, eV per formula unit: -9.386

# 9
# Al2SnSe

A relaxed structure of Al2SnSe (GGA-PBE, Alexandria). Values from VASP.

```
&SYSTEM
  ibrav = 0, nat = 8, ntyp = 3
/
ATOMIC_SPECIES
Al 26.98 Al.upf
Sn 118.71 Sn.upf
Se 78.96 Se.upf
ATOMIC_POSITIONS crystal
Al 0.116 0.625 0.991
Al 0.375 0.366 0.491
Al 0.634 0.125 0.009
Al 0.875 0.884 0.509
Sn 0.250 0.750 0.500
Sn 0.500 0.500 0.000
Se 0.000 0.000 0.000
Se 0.750 0.250 0.500
CELL_PARAMETERS angstrom
-3.012 3.012 6.090
3.012 -3.012 6.090
3.012 3.012 -6.090
```

## Properties
VASP energy, eV/atom: -3.970
Symmetry: I-42d (122)
Energy relative to the elements, uncorrected, eV per formula unit: -0.908
Offset from the most stable computed form, meV/atom: 0

# 10
# Al2Sn2Se

A relaxed structure of Al2Sn2Se (GGA-PBE, Alexandria). Values from VASP.

```
&SYSTEM
  ibrav = 0, nat = 10, ntyp = 3
/
ATOMIC_SPECIES
Al 26.98 Al.upf
Sn 118.71 Sn.upf
Se 78.96 Se.upf
ATOMIC_POSITIONS crystal
Al 0.134 0.366 0.000
Al 0.366 0.866 0.000
Al 0.634 0.134 0.000
Al 0.866 0.634 0.000
Sn 0.170 0.670 0.500
Sn 0.330 0.170 0.500
Sn 0.670 0.830 0.500
Sn 0.830 0.330 0.500
Se 0.000 0.000 0.000
Se 0.500 0.500 0.000
CELL_PARAMETERS angstrom
7.345 0.000 0.000
0.000 7.345 0.000
0.000 0.000 4.227
```

## Properties
VASP energy, eV/atom: -3.698
Symmetry: P4/mbm (127)
Energy relative to the elements, uncorrected, eV per formula unit: 0.486

# 11
# Al2SnSe

A relaxed structure of Al2SnSe (GGA-PBE, Alexandria). Values from VASP.

```
&SYSTEM
  ibrav = 0, nat = 4, ntyp = 3
/
ATOMIC_SPECIES
Al 26.98 Al.upf
Sn 118.71 Sn.upf
Se 78.96 Se.upf
ATOMIC_POSITIONS crystal
Al 0.250 0.250 0.250
Al 0.750 0.750 0.750
Sn 0.000 0.000 0.000
Se 0.500 0.500 0.500
CELL_PARAMETERS angstrom
0.000 3.468 3.468
3.468 0.000 3.468
3.468 3.468 0.000
```

## Properties
VASP energy, eV/atom: -3.576
Symmetry: Fm-3m (225)
Energy relative to the elements, uncorrected, eV per formula unit: 0.668
Offset from the most stable computed form, meV/atom: 394

# 12
# Al3SnSe

A relaxed structure of Al3SnSe (GGA-PBE, Alexandria). Values from VASP.

```
&SYSTEM
  ibrav = 0, nat = 5, ntyp = 3
/
ATOMIC_SPECIES
Al 26.98 Al.upf
Sn 118.71 Sn.upf
Se 78.96 Se.upf
ATOMIC_POSITIONS crystal
Al 0.000 0.000 0.500
Al 0.000 0.500 0.000
Al 0.500 0.000 0.000
Sn 0.000 0.000 0.000
Se 0.500 0.500 0.500
CELL_PARAMETERS angstrom
5.272 0.000 0.000
0.000 5.272 0.000
0.000 0.000 5.272
```

## Properties
VASP energy, eV/atom: -3.055
Symmetry: Pm-3m (221)
Energy relative to the elements, uncorrected, eV per formula unit: 3.441
Offset from the most stable computed form, meV/atom: 218

In order of appearance, density of states at the Fermi level = 0.0, 3.8, 3.6, 5.5, 0.8, 1.7, 2.3, 0.0, 0.0, 2.8, 2.0, 4.1 states/eV/f.u..